Record 1
{"formula": "Cd4S3O", "functional": "PBE", "state": "relaxed", "formation_energy_uncorrected_ev_per_atom": -0.715, "crystal_system": "orthorhombic", "magnetic_moment_mub_per_cell": 0.0, "cell": [[6.593, 0.000, 0.000], [0.000, 7.039, 0.000], [0.000, 0.000, 8.124]], "species": ["S", "S", "S", "S", "S", "S", "O", "O", "Cd", "Cd", "Cd", "Cd", "Cd", "Cd", "Cd", "Cd"], "frac_coords": [[0.002, 0.671, 0.247], [0.502, 0.329, 0.747], [0.502, 0.329, 0.253], [0.504, 0.844, 0.000], [0.002, 0.671, 0.753], [0.004, 0.156, 0.500], [0.504, 0.827, 0.500], [0.004, 0.173, 0.000], [0.612, 0.678, 0.729], [0.612, 0.678, 0.271], [0.663, 0.177, 0.000], [0.115, 0.872, 0.000], [0.163, 0.823, 0.500], [0.615, 0.128, 0.500], [0.112, 0.322, 0.229], [0.112, 0.322, 0.771]]}

---

Record 2
{"formula": "Sb2W", "functional": "PBE", "state": "relaxed", "formation_energy_uncorrected_ev_per_atom": 0.366, "crystal_system": "trigonal", "magnetic_moment_mub_per_cell": 0.0, "de_polymorph_mev_per_atom": 87, "n_ef_per_ev_atom": 0.50, "cell": [[-1.334, -2.370, 1.956], [3.062, 1.188, 0.658], [-3.039, 5.374, 4.439]], "species": ["Sb", "Sb", "W"], "frac_coords": [[0.667, 0.333, 0.735], [0.333, 0.667, 0.265], [0.000, 0.000, 0.000]]}

---

Record 3
{"formula": "Nb2IrRh2", "functional": "PBE", "state": "relaxed", "delta_e_f_mev_per_atom": -289, "crystal_system": "tetragonal", "magnetic_moment_mub_per_cell": 0.0, "de_polymorph_mev_per_atom": 133, "n_ef_per_ev_atom": 0.78, "cell": [[-3.435, -5.405, 3.376], [-3.275, -1.793, -6.202], [2.340, -1.913, -0.682]], "species": ["Nb", "Nb", "Nb", "Nb", "Ir", "Ir", "Rh", "Rh", "Rh", "Rh"], "frac_coords": [[0.174, 0.674, 0.500], [0.674, 0.826, 0.500], [0.826, 0.326, 0.500], [0.326, 0.174, 0.500], [0.500, 0.500, 0.000], [0.000, 0.000, 0.000], [0.370, 0.870, 0.000], [0.630, 0.130, 0.000], [0.130, 0.370, 0.000], [0.870, 0.630, 0.000]]}

---

Record 4
{"formula": "BaTe2IrN", "functional": "PBE", "state": "relaxed", "formation_energy_uncorrected_ev_per_atom": -0.340, "crystal_system": "tetragonal", "magnetic_moment_mub_per_cell": 0.0, "de_polymorph_mev_per_atom": 0, "n_ef_per_ev_atom": 0.63, "cell": [[-2.374, 0.943, -5.280], [-5.163, -1.966, 1.970], [-0.932, 3.491, 1.042]], "species": ["Ir", "N", "Te", "Te", "Ba"], "frac_coords": [[0.000, 0.000, 0.000], [0.000, 0.000, 0.500], [0.500, 0.000, 0.000], [0.000, 0.500, 0.000], [0.500, 0.500, 0.500]]}

---

Record 5
{"formula": "CaIrRh2", "functional": "PBE", "state": "relaxed", "delta_e_f_mev_per_atom": 140, "crystal_system": "cubic", "magnetic_moment_mub_per_cell": 2.8, "de_polymorph_mev_per_atom": 237, "n_ef_per_ev_atom": 1.31, "cell": [[0.000, 3.225, 3.225], [3.225, 0.000, 3.225], [3.225, 3.225, 0.000]], "species": ["Ca", "Rh", "Rh", "Ir"], "frac_coords": [[0.000, 0.000, 0.000], [0.250, 0.250, 0.250], [0.750, 0.750, 0.750], [0.500, 0.500, 0.500]]}

---

Record 6
{"formula": "Er5Bi2Rh", "functional": "PBE", "state": "relaxed", "delta_e_f_mev_per_atom": -279, "crystal_system": "orthorhombic", "magnetic_moment_mub_per_cell": 0.0, "n_ef_per_ev_atom": 0.54, "cell": [[5.532, 0.000, 0.000], [-2.766, 7.643, 0.000], [0.000, 0.000, 14.793]], "species": ["Er", "Er", "Er", "Er", "Er", "Er", "Er", "Er", "Er", "Er", "Rh", "Rh", "Bi", "Bi", "Bi", "Bi"], "frac_coords": [[0.281, 0.562, 0.393], [0.719, 0.438, 0.893], [0.051, 0.102, 0.127], [0.719, 0.438, 0.607], [0.949, 0.898, 0.873], [0.301, 0.601, 0.750], [0.699, 0.399, 0.250], [0.051, 0.102, 0.373], [0.281, 0.562, 0.107], [0.949, 0.898, 0.627], [0.825, 0.650, 0.750], [0.175, 0.350, 0.250], [0.856, 0.712, 0.439], [0.856, 0.712, 0.061], [0.144, 0.288, 0.561], [0.144, 0.288, 0.939]]}